The following is a DFT calculation (PBEsol) of LiCa3Ag after structural relaxation.

Results
- SG: Pm-3m (221)
- Formation enthalpy at 0 K: 394 meV/atom
- VASP energy: -9.71 eV per formula unit
- Total magnetic moment: 0.00 μB/cell

The structure in CIF format:
```
data_LiCa3Ag
_cell_length_a 5.582
_cell_length_b 5.582
_cell_length_c 5.582
_cell_angle_alpha 90.00
_cell_angle_beta 90.00
_cell_angle_gamma 90.00
_symmetry_space_group_name_H-M 'P 1'
_symmetry_Int_Tables_number 1
loop_
_symmetry_equiv_pos_as_xyz
'x,y,z'
loop_
_atom_site_label
_atom_site_type_symbol
_atom_site_fract_x
_atom_site_fract_y
_atom_site_fract_z
_atom_site_occupancy
Ca1 Ca 0.500 0.000 0.000 1
Ca2 Ca 0.000 0.000 0.500 1
Ca3 Ca 0.000 0.500 0.000 1
Li1 Li 0.000 0.000 0.000 1
Ag1 Ag 0.500 0.500 0.500 1
```